(1)
First-principles (PBE) data for crystalline CaNpMo2N6 at its relaxed geometry, as listed in Alexandria via LeMat-Bulk.

It has space group C2/c (No. 15), with a = 10.325 Å, b = 10.060 Å, c = 5.857 Å, α = 90.00°, β = 103.70° and γ = 90.00°. The asymmetric unit holds Ca at (0.000, 0.088, 0.250), Np at (0.000, 0.291, 0.750), Mo at (0.199, 0.411, 0.283), N at (0.115, 0.270, 0.113), N at (0.119, 0.114, 0.659) and N at (0.148, 0.438, 0.580).

As for the uncorrected formation energy: -6.5 eV/f.u. The density is 6.22 g cm⁻³.

---

(2)
First-principles (PBE) data for crystalline CaAg4Ru at its relaxed geometry, as listed in Alexandria via LeMat-Bulk.

It has space group F-43m (No. 216), with a = 7.747 Å, b = 7.747 Å, c = 7.747 Å, α = 90.00°, β = 90.00° and γ = 90.00°. The asymmetric unit holds Ca at (0.000, 0.000, 0.000), Ag at (0.125, 0.125, 0.375) and Ru at (0.250, 0.250, 0.750).

The density is 8.18 g cm⁻³. The value obtained for the energy of formation from the pure elements is 0.25 eV per atom.

---

(3)
First-principles (PBE) data for crystalline Sm2MgNi2 at its relaxed geometry, as listed in Alexandria via LeMat-Bulk.

It has space group P4/mbm (No. 127), with a = 7.429 Å, b = 7.429 Å, c = 3.846 Å, α = 90.00°, β = 90.00° and γ = 90.00°. The asymmetric unit holds Sm at (0.174, 0.326, 0.000), Mg at (0.000, 0.000, 0.500) and Ni at (0.119, 0.619, 0.500).

The density is 6.92 g cm⁻³. The value obtained for the energy of formation from the pure elements is -0.33 eV per atom.

---

(4)
First-principles (PBE) data for crystalline Rb2HfSnS4 at its relaxed geometry, as listed in Alexandria via LeMat-Bulk.

It has space group Fddd (No. 70, origin choice 2), with a = 7.104 Å, b = 14.473 Å, c = 22.769 Å, α = 90.00°, β = 90.00° and γ = 90.00°. The asymmetric unit holds Rb at (0.125, 0.125, 0.309), Hf at (0.125, 0.125, 0.125), Sn at (0.125, 0.125, 0.625) and S at (0.083, 0.281, 0.431).

As for the uncorrected formation energy: -9.0 eV/f.u. The density is 3.38 g cm⁻³.

---

(5)
First-principles (PBE) data for crystalline TlPdICl2 at its relaxed geometry, as listed in Alexandria via LeMat-Bulk.

It has space group P4/mmm (No. 123), with a = 5.188 Å, b = 5.188 Å, c = 6.399 Å, α = 90.00°, β = 90.00° and γ = 90.00°. The asymmetric unit holds Tl at (0.000, 0.000, 0.000), Pd at (0.500, 0.500, 0.500), I at (0.000, 0.000, 0.500) and Cl at (0.000, 0.500, 0.000).

As for the uncorrected formation energy: 0.5 eV/f.u. The density is 4.90 g cm⁻³. As for the energy above the most stable polymorph in this dataset: 634.3 meV per atom.

---

(6)
First-principles (PBE) data for crystalline Rb3In2Au4 at its relaxed geometry, as listed in Alexandria via LeMat-Bulk.

It has space group C2/m (No. 12), with a = 12.912 Å, b = 4.801 Å, c = 9.804 Å, α = 90.00°, β = 107.05° and γ = 90.00°. The asymmetric unit holds Rb at (0.000, 0.000, 0.000), Rb at (0.127, 0.500, 0.376), In at (0.180, 0.500, 0.774), Au at (0.079, 0.000, 0.632) and Au at (0.250, 0.000, 0.918).

The density is 7.28 g cm⁻³. The value obtained for the energy of formation from the pure elements is -0.28 eV per atom.

---

(7)
First-principles (PBE) data for crystalline HoNi3B2 at its relaxed geometry, as listed in Alexandria via LeMat-Bulk.

It has space group P6/mmm (No. 191), with a = 8.3889 Å, b = 8.3889 Å, c = 3.3057 Å, α = 90.00°, β = 90.00° and γ = 120.00°. The asymmetric unit holds Ho at (0.0000, 0.0000, 0.0000), Ho at (0.3333, 0.6667, 0.5000), Ni at (0.0000, 0.2862, 0.5000), Ni at (0.0000, 0.5000, 0.0000) and B at (0.1890, 0.3780, 0.0000).

The density is 8.97 g cm⁻³. The value obtained for the energy of formation from the pure elements is -0.41 eV per atom.

---

(8)
First-principles (PBE) data for crystalline Nb6BiTe8 at its relaxed geometry, as listed in Alexandria via LeMat-Bulk.

It has space group P-3 (No. 147), with a = 10.7661 Å, b = 10.7661 Å, c = 3.6324 Å, α = 90.00°, β = 90.00° and γ = 120.00°. The asymmetric unit holds Nb at (0.1024, 0.6154, 0.2498), Bi at (0.0000, 0.0000, 0.0000), Te at (0.0649, 0.3335, 0.2488) and Te at (0.3333, 0.6667, 0.7502).

As for the uncorrected formation energy: -5.6 eV/f.u. The density is 8.14 g cm⁻³.